[1]
Compound: DyY2ScSe4
Source: the Alexandria database
Functional: PBE
Structure: optimized geometry

Geometry as extended XYZ:
```
8
Lattice="7.0096 0.0000 0.0000 0.0000 4.0016 0.0000 -2.2897 0.0000 6.6292" Properties=species:S:1:pos:R:3 pbc="T T T"
Dy 0.0000 0.0000 0.0000
Y -1.1448 2.0008 3.3146
Y 2.3600 0.0000 3.3146
Sc 3.5048 2.0008 0.0000
Se 1.2276 2.0008 1.6169
Se 0.0830 0.0000 5.0455
Se 4.6369 0.0000 1.5837
Se 3.4924 2.0008 5.0123
```

Its space group is P2/m (10). The value obtained for the formation energy without anion corrections is -1.707 eV per atom.



[2]
Compound: LaPm7Ho2
Source: the Alexandria database
Functional: PBE
Structure: optimized geometry

Geometry as extended XYZ:
```
10
Lattice="9.0052 -2.7844 0.0000 9.0052 2.7844 0.0000 -3.3969 0.0000 7.0526" Properties=species:S:1:pos:R:3 pbc="T T T"
La 0.0000 0.0000 0.0000
Pm 0.5912 0.0000 4.6369
Pm 4.3765 0.0000 4.7210
Pm 6.4264 0.0000 0.4854
Pm 7.3067 0.0000 3.5263
Pm 8.1871 0.0000 6.5672
Pm 10.2370 0.0000 2.3317
Pm 14.0223 0.0000 2.4158
Ho 3.1299 0.0000 1.5044
Ho 11.4835 0.0000 5.5482
```

Its space group is C2/m (12). For the energy of formation from the pure elements, the calculation gives 0.19 eV per atom.



[3]
Compound: Li2TcPt
Source: the Alexandria database
Functional: PBE
Structure: optimized geometry

Geometry as extended XYZ:
```
4
Lattice="2.5888 0.0000 0.0000 0.0000 4.2411 0.0000 0.0000 0.0000 5.1960" Properties=species:S:1:pos:R:3 pbc="T T T"
Li 0.0000 0.0000 1.2724
Li 0.0000 0.0000 3.9236
Tc 1.2944 2.1205 2.5980
Pt 1.2944 2.1205 0.0000
```

Its space group is Pmmm (47). For the energy of formation from the pure elements, the calculation gives 0.02 eV per atom.



[4]
Compound: Cs2Cd2Bi
Source: the Alexandria database
Functional: PBE
Structure: optimized geometry

Geometry as extended XYZ:
```
10
Lattice="4.2027 0.0000 0.0000 0.0000 4.2027 0.0000 0.0000 0.0000 25.1217" Properties=species:S:1:pos:R:3 pbc="T T T"
Cs 0.0000 0.0000 2.5955
Cs 0.0000 0.0000 22.5262
Cs 2.1014 2.1014 9.9654
Cs 2.1014 2.1014 15.1563
Cd 0.0000 2.1014 6.2804
Cd 0.0000 2.1014 18.8413
Cd 2.1014 0.0000 6.2804
Cd 2.1014 0.0000 18.8413
Bi 0.0000 0.0000 12.5609
Bi 2.1014 2.1014 0.0000
```

Its space group is I4/mmm (139). For the energy of formation from the pure elements, the calculation gives -0.08 eV per atom.



[5]
Compound: CaFeTc2
Source: the Alexandria database
Functional: PBE
Structure: optimized geometry

Geometry as extended XYZ:
```
4
Lattice="4.4881 0.0000 0.0000 0.0000 4.4881 0.0000 0.0000 0.0000 3.1647" Properties=species:S:1:pos:R:3 pbc="T T T"
Ca 0.0000 0.0000 0.0000
Fe 2.2441 2.2441 0.0000
Tc 0.0000 2.2441 1.5824
Tc 2.2441 0.0000 1.5824
```

Its space group is P4/mmm (123). For the energy of formation from the pure elements, the calculation gives 0.84 eV per atom.



[6]
Compound: TlVCrN2
Source: the Alexandria database
Functional: PBE
Structure: optimized geometry

Geometry as extended XYZ:
```
5
Lattice="4.1540 0.0000 0.0000 0.0000 4.1540 0.0000 0.0000 0.0000 5.2471" Properties=species:S:1:pos:R:3 pbc="T T T"
Tl 0.0000 0.0000 0.0000
V 0.0000 0.0000 2.6236
Cr 2.0770 2.0770 2.6236
N 0.0000 2.0770 0.0000
N 2.0770 0.0000 0.0000
```

Its space group is P4/mmm (123). The value obtained for the formation energy without anion corrections is 2.954 eV per atom.



[7]
Compound: Tb7Au3
Source: the Alexandria database
Functional: PBE
Structure: optimized geometry

Geometry as extended XYZ:
```
20
Lattice="10.1204 0.0000 0.0000 -5.0602 8.7645 0.0000 0.0000 0.0000 6.3348" Properties=species:S:1:pos:R:3 pbc="T T T"
Tb -1.9883 4.6951 0.0000
Tb 0.0000 2.2689 1.8496
Tb -3.0953 7.6301 1.8496
Tb 1.9649 1.1344 5.0170
Tb 0.0000 5.8430 3.0085
Tb 1.9883 4.6951 0.0000
Tb 0.0000 8.1389 0.0000
Tb 5.0602 0.6256 3.1674
Tb 3.0719 4.0694 3.1674
Tb 5.0602 2.9215 6.1759
Tb 3.0953 7.6301 1.8496
Tb 8.1555 1.1344 5.0170
Tb 5.0602 6.4956 5.0170
Tb 7.0485 4.0694 3.1674
Au 0.0000 3.3442 4.6339
Au -2.1640 7.0924 4.6339
Au 2.8962 1.6721 1.4665
Au 2.1640 7.0924 4.6339
Au 7.2242 1.6721 1.4665
Au 5.0602 5.4203 1.4665
```

Its space group is P6_3mc (186). For the energy of formation from the pure elements, the calculation gives -0.52 eV per atom.



[8]
Compound: Sm2Dy7Th
Source: the Alexandria database
Functional: PBE
Structure: optimized geometry

Geometry as extended XYZ:
```
10
Lattice="3.2799 -14.3595 0.0000 3.2799 14.3595 0.0000 0.0000 0.0000 3.4708" Properties=species:S:1:pos:R:3 pbc="T T T"
Sm 3.2799 8.4544 0.0000
Sm 3.2799 -8.4544 0.0000
Dy 0.0000 0.0000 0.0000
Dy 1.6727 2.8025 0.0000
Dy 3.2799 5.3564 1.7354
Dy 1.6727 -2.8025 0.0000
Dy 4.8870 2.8025 0.0000
Dy 3.2799 -5.3564 1.7354
Dy 4.8870 -2.8025 0.0000
Th 3.2799 0.0000 1.7354
```

Its space group is Cmmm (65). For the energy of formation from the pure elements, the calculation gives 0.17 eV per atom.



no.,DOS at the Fermi energy (states/eV/cell),ρ (g/cm3)
1,5.079,6.3
2,14.250,7.0
3,2.761,8.9
4,6.991,5.2
5,5.467,7.6
6,9.374,6.1
7,34.722,10.1
8,15.966,8.5